Compound: Cs2In2Au
Source: Alexandria
Functional: PBE
Structure: relaxed

Calculated values
V (A^3/atom): 37.9
Energy above the most stable polymorph in this dataset (eV/f.u.): 0.50
Energy of formation (meV per atom): -50
Fermi-level density of states (states/eV/cell): 5.1

a = 7.633 Å, b = 7.633 Å, c = 6.497 Å
α = 90.00°, β = 90.00°, γ = 90.00°
Sites, in units of the cell vectors:
Cs (0.186, 0.686, 0.500)
Cs (0.686, 0.814, 0.500)
Cs (0.814, 0.314, 0.500)
Cs (0.314, 0.186, 0.500)
Au (0.000, 0.000, 0.000)
Au (0.500, 0.500, 0.000)
In (0.362, 0.862, 0.000)
In (0.862, 0.638, 0.000)
In (0.638, 0.138, 0.000)
In (0.138, 0.362, 0.000)